The following is a DFT calculation (PBE-GGA) of a geometry-optimized Nd3Sm2Y6Tm structure.

Cell: 6.243 6.243 11.884 Å, 95.01 95.01 119.98°
Sites, in units of the cell vectors:
Y 0.585 0.918 0.752
Y 0.250 0.250 0.752
Y 0.750 0.750 0.248
Y 0.082 0.415 0.248
Y 0.918 0.585 0.752
Y 0.415 0.082 0.248
Sm 0.334 0.666 0.000
Sm 0.666 0.334 0.000
Nd 0.500 0.500 0.500
Nd 0.833 0.167 0.500
Nd 0.167 0.833 0.500
Tm 0.000 0.000 0.000

Summary:
V = 32.92 Å³/atom
Energy of formation from the pure elements = 0.01 eV per atom
Electronic total energy = -0.4093 Ry per atom

=====

The following is a DFT calculation (PBE-GGA) of a geometry-optimized DyMg2Pd structure.

Cell: 3.334 3.334 7.747 Å, 90.00 90.00 90.00°
Sites, in units of the cell vectors:
Pd 0.500 0.500 0.000
Mg 0.000 0.000 0.810
Mg 0.000 0.000 0.190
Dy 0.500 0.500 0.500

Summary:
V = 21.53 Å³/atom
Energy of formation from the pure elements = -0.36 eV per atom
Electronic total energy = -0.2653 Ry per atom

=====

The following is a DFT calculation (PBE-GGA) of a geometry-optimized La5DyHg6 structure.

Cell: 5.456 7.801 8.679 Å, 90.00 71.60 90.00°
Each line ends with the local moment (μB).
Sites, in units of the cell vectors:
Hg 0.160 0.757 0.679  0.01
Hg 0.840 0.243 0.321  0.01
Hg 0.840 0.757 0.321  0.01
Hg 0.500 0.761 0.000  0.01
Hg 0.160 0.243 0.679  0.01
Hg 0.500 0.239 0.000  0.01
La 0.333 0.000 0.334  0.14
La 0.000 0.500 0.000  0.14
La 0.667 0.000 0.666  0.14
La 0.330 0.500 0.341  0.19
La 0.670 0.500 0.659  0.19
Dy 0.000 0.000 0.000  0.14

Summary:
V = 29.21 Å³/atom
Energy of formation from the pure elements = -0.49 eV per atom
Electronic total energy = -0.2263 Ry per atom

=====

The following is a DFT calculation (PBE-GGA) of a geometry-optimized CeGeRu structure.

Cell: 3.747 4.345 4.345 Å, 120.00 90.00 90.00°
Sites, in units of the cell vectors:
Ce 0.667 0.667 0.333
Ge 0.167 0.333 0.667
Ru 0.167 0.000 0.000

Summary:
V = 20.42 Å³/atom
Energy of formation from the pure elements = -0.56 eV per atom
Electronic total energy = -0.5268 Ry per atom

=====

The following is a DFT calculation (PBE-GGA) of a geometry-optimized Sm2TmZrS4 structure.

Cell: 3.890 6.725 6.749 Å, 109.60 90.00 90.00°
Sites, in units of the cell vectors:
Zr 0.500 0.500 0.000
S 0.500 0.246 0.233
S 0.000 0.258 0.768
S 0.000 0.742 0.232
S 0.500 0.754 0.767
Sm 0.500 0.000 0.500
Sm 0.000 0.500 0.500
Tm 0.000 0.000 0.000

Summary:
V = 20.79 Å³/atom
Electronic total energy = -0.4924 Ry per atom

=====

The following is a DFT calculation (PBE-GGA) of a geometry-optimized Ce2MgSi3Ni4 structure.

Cell: 4.041 4.041 9.814 Å, 90.00 90.00 90.00°
Sites, in units of the cell vectors:
Si 0.000 0.000 0.500
Si 0.500 0.000 0.879
Si 0.000 0.500 0.121
Mg 0.500 0.500 0.500
Ni 0.000 0.000 0.000
Ni 0.000 0.500 0.357
Ni 0.500 0.500 0.000
Ni 0.500 0.000 0.643
Ce 0.500 0.000 0.239
Ce 0.000 0.500 0.761

Summary:
V = 16.03 Å³/atom
Electronic total energy = -0.4377 Ry per atom

=====

The following is a DFT calculation (PBE-GGA) of a geometry-optimized BaCaTiN3 structure.

Cell: 5.706 5.945 6.487 Å, 62.73 85.98 81.21°
Sites, in units of the cell vectors:
N 0.250 0.783 0.434
N 0.750 0.217 0.566
N 0.993 0.746 0.069
N 0.493 0.815 0.931
N 0.007 0.254 0.931
N 0.507 0.185 0.069
Ba 0.250 0.252 0.496
Ba 0.750 0.748 0.504
Ca 0.250 0.572 0.855
Ca 0.750 0.428 0.145
Ti 0.750 0.050 0.899
Ti 0.250 0.950 0.101

Summary:
V = 16.11 Å³/atom
Electronic total energy = -0.5211 Ry per atom

=====

The following is a DFT calculation (PBE-GGA) of a geometry-optimized Ca3Th3ReN8 structure.

Cell: 7.023 7.023 7.014 Å, 120.04 90.00 120.00°
Sites, in units of the cell vectors:
N 0.776 0.987 0.698
N 0.746 0.492 0.739
N 0.211 0.422 0.698
N 0.789 0.578 0.302
N 0.254 0.508 0.261
N 0.224 0.013 0.302
N 0.211 0.987 0.698
N 0.789 0.013 0.302
Th 0.500 0.000 0.500
Th 0.500 0.500 0.500
Th 0.000 0.500 0.500
Ca 0.000 0.000 0.000
Ca 0.000 0.500 0.000
Ca 0.500 0.500 0.000
Re 0.000 0.000 0.500

Summary:
V = 16.30 Å³/atom
Electronic total energy = -0.6044 Ry per atom

=====

The following is a DFT calculation (PBE-GGA) of a geometry-optimized La2PPb structure.

Cell: 8.768 8.768 8.768 Å, 154.77 153.88 36.63°
Sites, in units of the cell vectors:
P 0.544 0.544 0.000
La 0.972 0.972 0.000
La 0.679 0.179 0.500
Pb 0.305 0.805 0.500

Summary:
Offset from the most stable computed form = 68 kJ/mol of formula units
V = 31.58 Å³/atom
Energy of formation from the pure elements = -0.88 eV per atom
Electronic total energy = -0.4133 Ry per atom

=====

The following is a DFT calculation (PBE-GGA) of a geometry-optimized SrZrMn structure.

Cell: 5.076 5.076 3.524 Å, 90.00 90.00 120.00°
Each line ends with the local moment (μB).
Sites, in units of the cell vectors:
Zr 0.333 0.667 0.832  -0.81
Mn 0.000 0.000 0.835  3.52
Sr 0.667 0.333 0.333  -0.09

Summary:
Offset from the most stable computed form = 87 kJ/mol of formula units
V = 26.21 Å³/atom
Energy of formation from the pure elements = 0.69 eV per atom
Electronic total energy = -0.4244 Ry per atom

=====

The following is a DFT calculation (PBE-GGA) of a geometry-optimized PmCdSnRh structure.

Cell: 4.958 4.958 4.958 Å, 60.00 60.00 60.00°
Sites, in units of the cell vectors:
Sn 0.500 0.500 0.500
Pm 0.000 0.000 0.000
Cd 0.750 0.750 0.750
Rh 0.250 0.250 0.250

Summary:
V = 21.55 Å³/atom
Energy of formation from the pure elements = -0.42 eV per atom
Electronic total energy = -0.3435 Ry per atom

=====

The following is a DFT calculation (PBE-GGA) of a geometry-optimized BaEuGdMg structure.

Cell: 5.971 5.971 5.971 Å, 60.00 60.00 60.00°
Each line ends with the local moment (μB).
Sites, in units of the cell vectors:
Eu 0.500 0.500 0.500  6.88
Mg 0.000 0.000 0.000  0.00
Ba 0.750 0.750 0.750  0.02
Gd 0.250 0.250 0.250  -7.10

Summary:
V = 37.64 Å³/atom
Energy of formation from the pure elements = 0.14 eV per atom
Electronic total energy = -0.5016 Ry per atom